First-principles (PBE+U) data for a relaxed structure of BeFeAg2O, as listed in Alexandria.

Output
Energy, eV per atom: -3.73
Volume, Å³ per atom: 16.57

Cell lengths 4.7071, 4.7071, 3.7389 Å; angles 90.00, 90.00, 90.00 degrees
Closest atoms and distances in Å follow each position.
Space group P4/mmm (No. 123)
One atom of each set of equivalent atoms:
Be 0.0000 0.0000 0.0000  8 Ag 3.01, 4 Fe 3.33
Fe 0.5000 0.5000 0.0000  2 O 1.87
Ag 0.0000 0.5000 0.5000  2 O 2.35
O 0.5000 0.5000 0.5000  2 Fe 1.87